Crystalline Tl3AgPd6 at its relaxed geometry. Source: Alexandria, functional PBE.

The structure in extended XYZ format:
```
20
Lattice="4.972 0.000 0.000 0.000 8.781 0.269 0.000 -1.698 8.619" Properties=species:S:1:pos:R:3 pbc="T T T"
Tl 2.230 6.588 6.255
Tl 4.715 4.627 7.818
Tl 0.515 2.184 5.526
Tl 3.001 4.900 3.362
Tl 4.715 0.495 2.633
Tl 2.230 2.456 1.070
Ag 0.832 -0.052 7.308
Ag 3.317 7.135 1.580
Pd 0.288 5.012 5.067
Pd 2.774 3.821 6.016
Pd 2.124 3.416 8.716
Pd 4.609 7.733 5.275
Pd 1.011 8.253 0.689
Pd 3.202 1.015 6.458
Pd 0.716 6.069 2.430
Pd 3.497 -1.170 8.199
Pd 2.124 -0.650 3.613
Pd 4.609 3.667 0.172
Pd 0.288 3.262 2.872
Pd 2.774 2.072 3.821
```

* size of the total moment: 0.00 μB/f.u.
* energy: -4.1406 eV/atom
* energy relative to the elements: -0.030 eV/atom
* offset from the most stable computed form: 0.111 eV per atom
* symmetry: No. 36